# Th3Ti5O12 | Alexandria via LeMat-Bulk | GGA-PBE | optimized geometry
# - uncorrected energy (eV/atom) = -9.03
# - symmetry = Ia-3d (230)
data_Th3Ti5O12
_chemical_formula_sum 'Th12 Ti20 O48'
_cell_length_a 11.139
_cell_length_b 11.139
_cell_length_c 11.139
_cell_angle_alpha 109.47
_cell_angle_beta 109.47
_cell_angle_gamma 109.47
_symmetry_space_group_name_H-M 'P 1'
_symmetry_Int_Tables_number 1
loop_
_symmetry_equiv_pos_as_xyz
'x,y,z'
loop_
_atom_site_label
_atom_site_type_symbol
_atom_site_fract_x
_atom_site_fract_y
_atom_site_fract_z
Th1 Th 0.125 0.250 0.375
Th2 Th 0.125 0.375 0.750
Th3 Th 0.250 0.375 0.125
Th4 Th 0.250 0.875 0.625
Th5 Th 0.375 0.125 0.250
Th6 Th 0.375 0.750 0.125
Th7 Th 0.625 0.250 0.875
Th8 Th 0.625 0.875 0.750
Th9 Th 0.750 0.125 0.375
Th10 Th 0.750 0.625 0.875
Th11 Th 0.875 0.625 0.250
Th12 Th 0.875 0.750 0.625
Ti1 Ti 0.000 0.000 0.000
Ti2 Ti 0.000 0.000 0.500
Ti3 Ti 0.000 0.500 0.000
Ti4 Ti 0.000 0.500 0.500
Ti5 Ti 0.125 0.750 0.875
Ti6 Ti 0.125 0.875 0.250
Ti7 Ti 0.250 0.125 0.875
Ti8 Ti 0.250 0.625 0.375
Ti9 Ti 0.375 0.250 0.625
Ti10 Ti 0.375 0.625 0.750
Ti11 Ti 0.500 0.000 0.000
Ti12 Ti 0.500 0.000 0.500
Ti13 Ti 0.500 0.500 0.000
Ti14 Ti 0.500 0.500 0.500
Ti15 Ti 0.625 0.375 0.250
Ti16 Ti 0.625 0.750 0.375
Ti17 Ti 0.750 0.375 0.625
Ti18 Ti 0.750 0.875 0.125
Ti19 Ti 0.875 0.125 0.750
Ti20 Ti 0.875 0.250 0.125
O1 O 0.028 0.210 0.121
O2 O 0.028 0.318 0.907
O3 O 0.089 0.710 0.682
O4 O 0.089 0.879 0.407
O5 O 0.093 0.621 0.411
O6 O 0.093 0.972 0.682
O7 O 0.121 0.028 0.210
O8 O 0.121 0.593 0.911
O9 O 0.182 0.210 0.589
O10 O 0.182 0.472 0.593
O11 O 0.210 0.121 0.028
O12 O 0.210 0.589 0.182
O13 O 0.290 0.318 0.911
O14 O 0.290 0.472 0.379
O15 O 0.318 0.907 0.028
O16 O 0.318 0.911 0.290
O17 O 0.379 0.290 0.472
O18 O 0.379 0.589 0.907
O19 O 0.407 0.089 0.879
O20 O 0.407 0.818 0.528
O21 O 0.411 0.093 0.621
O22 O 0.411 0.818 0.790
O23 O 0.472 0.379 0.290
O24 O 0.472 0.593 0.182
O25 O 0.528 0.407 0.818
O26 O 0.528 0.621 0.710
O27 O 0.589 0.182 0.210
O28 O 0.589 0.907 0.379
O29 O 0.593 0.182 0.472
O30 O 0.593 0.911 0.121
O31 O 0.621 0.411 0.093
O32 O 0.621 0.710 0.528
O33 O 0.682 0.089 0.710
O34 O 0.682 0.093 0.972
O35 O 0.710 0.528 0.621
O36 O 0.710 0.682 0.089
O37 O 0.790 0.411 0.818
O38 O 0.790 0.879 0.972
O39 O 0.818 0.528 0.407
O40 O 0.818 0.790 0.411
O41 O 0.879 0.407 0.089
O42 O 0.879 0.972 0.790
O43 O 0.907 0.028 0.318
O44 O 0.907 0.379 0.589
O45 O 0.911 0.121 0.593
O46 O 0.911 0.290 0.318
O47 O 0.972 0.682 0.093
O48 O 0.972 0.790 0.879